Record 1
# Tb2Tm2Ga4Cu

A relaxed Tb2Tm2Ga4Cu crystal (PBE, the Alexandria database).

extended XYZ file:
```
9
Lattice="-3.450 3.450 4.280 3.450 -3.450 4.280 3.450 3.450 -4.280" Properties=species:S:1:pos:R:3 pbc="T T T"
Tb 0.000 0.000 1.642
Tb 0.000 0.000 6.919
Tm 3.450 0.000 2.140
Tm 0.000 3.450 2.140
Ga 1.783 1.783 0.000
Ga 1.667 -1.667 4.280
Ga -1.667 1.667 4.280
Ga 1.667 1.667 4.280
Cu 0.000 0.000 4.280
```

**Crystal system**: tetragonal
**Symmetry**: No. 139


Record 2
# TbTmGaCu

A relaxed TbTmGaCu crystal (PBE, the Alexandria database).

extended XYZ file:
```
4
Lattice="0.000 3.519 3.519 3.519 0.000 3.519 3.519 3.519 0.000" Properties=species:S:1:pos:R:3 pbc="T T T"
Tb 0.000 0.000 0.000
Tm 3.519 3.519 3.519
Ga 1.760 1.760 1.760
Cu 5.279 5.279 5.279
```

**Crystal system**: cubic
**Symmetry**: No. 216


Record 3
# TbTm2Ga2Cu2

A relaxed TbTm2Ga2Cu2 crystal (PBE, the Alexandria database).

extended XYZ file:
```
7
Lattice="2.183 1.260 9.006 -2.183 1.260 9.006 0.000 -2.520 9.006" Properties=species:S:1:pos:R:3 pbc="T T T"
Tb 0.000 0.000 0.000
Tm 0.000 0.000 3.371
Tm 0.000 0.000 23.648
Ga 0.000 0.000 7.060
Ga 0.000 0.000 19.959
Cu 0.000 0.000 10.843
Cu 0.000 0.000 16.175
```

**Crystal system**: trigonal
**Symmetry**: No. 166


Record 4
# Tb2TmGa2Cu2

A relaxed Tb2TmGa2Cu2 crystal (PBE, the Alexandria database).

extended XYZ file:
```
7
Lattice="2.176 1.256 9.185 -2.176 1.256 9.185 0.000 -2.513 9.185" Properties=species:S:1:pos:R:3 pbc="T T T"
Tb 0.000 0.000 3.384
Tb 0.000 0.000 24.170
Tm 0.000 0.000 0.000
Ga 0.000 0.000 7.344
Ga 0.000 0.000 20.210
Cu 0.000 0.000 10.849
Cu 0.000 0.000 16.705
```

**Crystal system**: trigonal
**Symmetry**: No. 166


Record 5
# TbYGaCu

A relaxed TbYGaCu crystal (PBE, the Alexandria database).

extended XYZ file:
```
4
Lattice="0.000 3.550 3.550 3.550 0.000 3.550 3.550 3.550 0.000" Properties=species:S:1:pos:R:3 pbc="T T T"
Tb 0.000 0.000 0.000
Y 3.550 3.550 3.550
Ga 5.325 5.325 5.325
Cu 1.775 1.775 1.775
```

**Crystal system**: cubic
**Symmetry**: No. 216


Record 6
# TbY2Ga2Cu2

A relaxed TbY2Ga2Cu2 crystal (PBE, the Alexandria database).

extended XYZ file:
```
7
Lattice="2.184 1.261 9.295 -2.184 1.261 9.295 0.000 -2.522 9.295" Properties=species:S:1:pos:R:3 pbc="T T T"
Tb 0.000 0.000 0.000
Y 0.000 0.000 3.441
Y 0.000 0.000 24.443
Ga 0.000 0.000 7.371
Ga 0.000 0.000 20.513
Cu 0.000 0.000 11.078
Cu 0.000 0.000 16.806
```

**Crystal system**: trigonal
**Symmetry**: No. 166


Record 7
# Tb2Zn3Ga4Cu

A relaxed Tb2Zn3Ga4Cu crystal (PBE, the Alexandria database).

extended XYZ file:
```
10
Lattice="4.179 0.000 0.000 0.000 4.179 0.000 0.000 0.000 10.469" Properties=species:S:1:pos:R:3 pbc="T T T"
Tb 0.000 2.089 2.567
Tb 2.089 0.000 7.902
Zn 0.000 0.000 0.000
Zn 0.000 2.089 6.710
Zn 2.089 0.000 3.759
Ga 0.000 0.000 5.234
Ga 0.000 2.089 9.123
Ga 2.089 0.000 1.346
Ga 2.089 2.089 5.234
Cu 2.089 2.089 0.000
```

**Crystal system**: tetragonal
**Symmetry**: No. 115


Record 8
# Tb2ZnGa3Cu4

A relaxed Tb2ZnGa3Cu4 crystal (PBE, the Alexandria database).

extended XYZ file:
```
10
Lattice="4.127 0.000 0.000 0.000 4.127 0.000 0.000 0.000 10.150" Properties=species:S:1:pos:R:3 pbc="T T T"
Tb 0.000 2.064 2.502
Tb 2.064 0.000 7.649
Zn 0.000 0.000 5.075
Ga 0.000 2.064 8.824
Ga 2.064 0.000 1.326
Ga 2.064 2.064 5.075
Cu 0.000 0.000 0.000
Cu 0.000 2.064 6.443
Cu 2.064 0.000 3.708
Cu 2.064 2.064 0.000
```

**Crystal system**: tetragonal
**Symmetry**: No. 115


Record 9
# Tb4Zn2GaCu

A relaxed Tb4Zn2GaCu crystal (PBE, the Alexandria database).

extended XYZ file:
```
8
Lattice="2.516 1.453 8.245 -2.516 1.453 8.245 0.000 -2.905 8.245" Properties=species:S:1:pos:R:3 pbc="T T T"
Tb 0.000 0.000 3.053
Tb 0.000 0.000 9.238
Tb 0.000 0.000 15.498
Tb 0.000 0.000 21.683
Zn 0.000 0.000 6.157
Zn 0.000 0.000 18.579
Ga 0.000 0.000 12.368
Cu 0.000 0.000 0.000
```

**Crystal system**: trigonal
**Symmetry**: No. 166


Record 10
# TbZn6GaCu

A relaxed TbZn6GaCu crystal (PBE, the Alexandria database).

extended XYZ file:
```
18
Lattice="-3.407 4.456 5.416 3.407 -4.456 5.416 3.407 4.456 -5.416" Properties=species:S:1:pos:R:3 pbc="T T T"
Tb 0.000 2.228 2.171
Tb 3.407 2.228 3.245
Zn 2.104 0.094 1.356
Zn 4.709 0.094 1.356
Zn 3.407 -2.228 4.592
Zn 3.407 2.228 -0.051
Zn 2.104 4.550 -1.356
Zn 1.303 0.094 4.060
Zn 2.104 4.362 1.356
Zn 1.303 -0.094 6.772
Zn 0.000 2.228 5.467
Zn 0.000 6.684 0.823
Zn -1.303 4.362 4.060
Zn 1.303 4.362 4.060
Ga 1.703 2.228 -2.708
Ga 1.703 -2.228 2.708
Cu 0.000 0.000 0.000
Cu 0.000 4.456 0.000
```

**Crystal system**: orthorhombic
**Symmetry**: No. 74


Record 11
# TbZnGaCu6

A relaxed TbZnGaCu6 crystal (PBE, the Alexandria database).

extended XYZ file:
```
18
Lattice="-3.447 4.352 4.819 3.447 -4.352 4.819 3.447 4.352 -4.819" Properties=species:S:1:pos:R:3 pbc="T T T"
Tb 0.000 2.176 2.069
Tb 3.447 2.176 2.750
Zn 1.724 2.176 -2.409
Zn 1.724 -2.176 2.409
Ga 0.000 0.000 0.000
Ga 0.000 4.352 0.000
Cu 2.199 0.015 1.227
Cu 4.695 0.015 1.227
Cu 3.447 -2.176 4.021
Cu 3.447 2.176 -0.205
Cu 2.199 4.367 -1.227
Cu 1.248 0.015 3.592
Cu 2.199 4.338 1.227
Cu 1.248 -0.015 6.045
Cu 0.000 2.176 5.024
Cu 0.000 6.529 0.797
Cu -1.248 4.338 3.592
Cu 1.248 4.338 3.592
```

**Crystal system**: orthorhombic
**Symmetry**: No. 74


Record 12
# Tb2Zn3GaCu12

A relaxed Tb2Zn3GaCu12 crystal (PBE, the Alexandria database).

extended XYZ file:
```
18
Lattice="4.375 2.526 4.113 -4.375 2.526 4.113 0.000 -5.051 4.113" Properties=species:S:1:pos:R:3 pbc="T T T"
Tb 0.000 0.000 2.552
Tb 0.000 0.000 9.786
Zn -2.187 -1.263 4.113
Zn -2.187 1.263 8.225
Zn 0.000 2.526 4.113
Ga 0.000 0.000 6.169
Cu 0.000 -2.802 3.306
Cu -2.426 1.401 3.306
Cu -2.068 -1.194 6.660
Cu 0.000 -2.387 5.678
Cu -2.068 1.194 5.678
Cu -2.426 -1.401 9.032
Cu 2.426 1.401 3.306
Cu 2.068 -1.194 6.660
Cu 0.000 2.387 6.660
Cu 2.068 1.194 5.678
Cu 2.426 -1.401 9.032
Cu 0.000 2.802 9.032
```

**Crystal system**: trigonal
**Symmetry**: No. 166


Record 13
# Tb2ZnGa4Cu3

A relaxed Tb2ZnGa4Cu3 crystal (PBE, the Alexandria database).

extended XYZ file:
```
10
Lattice="4.151 0.000 0.000 0.000 4.151 0.000 0.000 0.000 10.201" Properties=species:S:1:pos:R:3 pbc="T T T"
Tb 0.000 2.075 2.545
Tb 2.075 0.000 7.656
Zn 0.000 0.000 5.100
Ga 0.000 0.000 0.000
Ga 0.000 2.075 6.512
Ga 2.075 0.000 3.689
Ga 2.075 2.075 0.000
Cu 0.000 2.075 8.875
Cu 2.075 0.000 1.326
Cu 2.075 2.075 5.100
```

**Crystal system**: tetragonal
**Symmetry**: No. 115


Record 14
# Tb2Zn3GaCu4

A relaxed Tb2Zn3GaCu4 crystal (PBE, the Alexandria database).

extended XYZ file:
```
10
Lattice="3.958 0.000 0.000 0.000 3.958 0.000 0.000 0.000 11.007" Properties=species:S:1:pos:R:3 pbc="T T T"
Tb 0.000 1.979 2.742
Tb 1.979 0.000 8.265
Zn 0.000 0.000 0.000
Zn 0.000 1.979 7.001
Zn 1.979 0.000 4.006
Ga 1.979 1.979 0.000
Cu 0.000 0.000 5.504
Cu 0.000 1.979 9.441
Cu 1.979 0.000 1.567
Cu 1.979 1.979 5.504
```

**Crystal system**: tetragonal
**Symmetry**: No. 115


Record 15
# Ga8Cu5Tc

A relaxed Ga8Cu5Tc crystal (PBE, the Alexandria database).

extended XYZ file:
```
14
Lattice="-4.032 4.032 3.307 4.032 -4.032 3.307 4.032 4.032 -3.307" Properties=species:S:1:pos:R:3 pbc="T T T"
Ga 5.292 -2.231 1.897
Ga 1.801 -1.259 1.411
Ga 4.025 1.382 -0.510
Ga 6.263 1.259 1.411
Ga 2.773 2.231 1.897
Ga 2.650 -0.007 3.817
Ga 1.382 4.039 0.510
Ga 0.007 2.650 2.797
Cu 3.268 2.989 -2.321
Cu 0.764 1.043 0.986
Cu 0.000 0.000 3.307
Cu 1.043 -0.764 5.629
Cu 2.989 4.796 2.321
Tc 4.032 0.000 1.654
```

**Crystal system**: tetragonal
**Symmetry**: No. 82


Record 16
# GaCu3Tc

A relaxed GaCu3Tc crystal (PBE, the Alexandria database).

extended XYZ file:
```
5
Lattice="4.700 0.000 0.000 0.000 4.700 0.000 0.000 0.000 4.700" Properties=species:S:1:pos:R:3 pbc="T T T"
Ga 0.000 0.000 0.000
Cu 0.000 2.350 2.350
Cu 2.350 0.000 2.350
Cu 2.350 2.350 0.000
Tc 2.350 2.350 2.350
```

**Crystal system**: cubic
**ΔE to the lowest computed polymorph**: 1.33 eV/f.u.
**Symmetry**: No. 221


Record 17
# GaCuTc3

A relaxed GaCuTc3 crystal (PBE, the Alexandria database).

extended XYZ file:
```
5
Lattice="4.481 0.000 0.000 0.000 4.481 0.000 0.000 0.000 4.481" Properties=species:S:1:pos:R:3 pbc="T T T"
Ga 0.000 0.000 0.000
Cu 2.241 2.241 2.241
Tc 0.000 2.241 2.241
Tc 2.241 0.000 2.241
Tc 2.241 2.241 0.000
```

**Crystal system**: cubic
**ΔE to the lowest computed polymorph**: 0.00 eV/f.u.
**Symmetry**: No. 221


Record 18
# Ga6Cu3Tc

A relaxed Ga6Cu3Tc crystal (PBE, the Alexandria database).

extended XYZ file:
```
20
Lattice="4.869 2.811 4.121 -4.869 2.811 4.121 0.000 -5.623 4.121" Properties=species:S:1:pos:R:3 pbc="T T T"
Ga -4.344 0.792 5.373
Ga -2.858 -3.366 6.991
Ga -1.147 -1.237 4.284
Ga 1.486 -4.158 5.373
Ga -0.498 1.611 4.284
Ga 1.644 -0.375 4.284
Ga -1.644 0.375 8.080
Ga 0.498 -1.611 8.080
Ga -1.486 4.158 6.991
Ga 1.147 1.237 8.080
Ga 2.858 3.366 5.373
Ga 4.344 -0.792 6.991
Cu -2.807 -0.989 6.233
Cu -0.547 -2.925 6.131
Cu -2.260 1.936 6.131
Cu 2.260 -1.936 6.233
Cu 0.547 2.925 6.233
Cu 2.807 0.989 6.131
Tc 0.000 0.000 0.000
Tc 0.000 0.000 6.182
```

**Crystal system**: trigonal
**Symmetry**: No. 148


Record 19
# Ga4CuTc

A relaxed Ga4CuTc crystal (PBE, the Alexandria database).

extended XYZ file:
```
12
Lattice="5.483 0.000 0.000 0.000 6.730 0.000 0.000 0.000 5.354" Properties=species:S:1:pos:R:3 pbc="T T T"
Ga 0.000 1.331 0.000
Ga 0.000 2.010 2.677
Ga 0.000 4.720 2.677
Ga 0.000 5.399 0.000
Ga 2.742 1.331 0.000
Ga 2.742 2.010 2.677
Ga 2.742 4.720 2.677
Ga 2.742 5.399 0.000
Cu 1.371 3.365 0.890
Cu 4.112 3.365 4.464
Tc 1.371 0.000 3.535
Tc 4.112 0.000 1.819
```

**Crystal system**: orthorhombic
**Symmetry**: No. 51


Record 20
# GaCuTc2

A relaxed GaCuTc2 crystal (PBE, the Alexandria database).

extended XYZ file:
```
8
Lattice="-3.448 3.448 2.551 3.448 -3.448 2.551 3.448 3.448 -2.551" Properties=species:S:1:pos:R:3 pbc="T T T"
Ga 0.000 0.000 0.000
Ga 0.000 3.448 1.276
Cu 3.448 0.000 1.276
Cu 0.000 0.000 2.551
Tc 1.724 1.733 -0.638
Tc 5.164 1.724 0.638
Tc 1.724 1.715 1.914
Tc -1.715 1.724 3.189
```

**Crystal system**: tetragonal
**Symmetry**: No. 122


Record 21
# Ga5Cu2Tc2

A relaxed Ga5Cu2Tc2 crystal (PBE, the Alexandria database).

extended XYZ file:
```
18
Lattice="-7.844 2.595 3.308 7.844 -2.595 3.308 7.844 2.595 -3.308" Properties=species:S:1:pos:R:3 pbc="T T T"
Ga 1.082 0.669 0.000
Ga 6.762 0.669 0.000
Ga 3.922 2.186 -1.263
Ga 3.922 0.409 2.045
Ga 2.577 2.539 1.179
Ga 5.268 2.539 1.179
Ga -2.577 2.651 1.179
Ga 2.577 0.056 4.487
Ga 1.082 1.926 3.308
Ga 6.762 1.926 3.308
Cu 11.766 0.758 -0.111
Cu 0.000 2.595 1.117
Cu 0.000 0.000 4.425
Cu -3.922 1.836 3.196
Tc 9.348 2.031 -1.066
Tc 6.341 -0.564 2.242
Tc -1.503 0.564 2.242
Tc 9.348 0.564 2.242
```

**Crystal system**: orthorhombic
**Symmetry**: No. 46


Record 22
# GaCuTc

A relaxed GaCuTc crystal (PBE, the Alexandria database).

extended XYZ file:
```
3
Lattice="4.209 0.000 0.000 -2.105 3.645 0.000 0.000 0.000 2.694" Properties=species:S:1:pos:R:3 pbc="T T T"
Ga 0.000 0.000 0.000
Cu 0.000 2.430 0.000
Tc 2.105 1.215 1.347
```

**Crystal system**: hexagonal
**ΔE to the lowest computed polymorph**: 0.55 eV/f.u.
**Symmetry**: No. 187


Energy of formation from the pure elements (meV/atom)
-307 -422 -397 -398 -420 -408 -428 -393 -369 -10 96 20 -445 -276 -19 1304 1587 25 -36 592 34 39
N(E_F) (states/eV/atom)
0.7853 0.7778 0.5347 0.6771 0.8440 0.5701 0.4055 0.5866 0.9119 0.4573 0.3423 0.4882 0.4741 0.5484 0.3747 0.9285 1.3824 0.2575 0.5380 1.0922 0.3838 0.8888
VASP energy (eV for the cell shown)
-37.17 -17.91 -30.60 -30.76 -19.90 -34.66 -33.57 -39.93 -31.14 -38.98 -65.30 -64.90 -39.38 -35.25 -55.33 -19.16 -30.28 -81.13 -53.57 -50.98 -87.51 -17.37